## a
Computed, not measured: an optimized crystal structure of PuTi2Ga at the PBE-GGA level of DFT.

abc: 4.7550 4.7550 3.0962
angles: 90.00 90.00 90.00
Space group P4/mmm (No. 123)
Asymmetric unit:
Pu (0.0000, 0.0000, 0.0000)
Ti (0.0000, 0.5000, 0.5000)
Ga (0.5000, 0.5000, 0.0000)

Values from the calculation:
* total magnetization: 4.76 μB per cell

---

## b
Computed, not measured: an optimized crystal structure of PuTi2Ga at the PBE-GGA level of DFT.

abc: 6.6051 6.6051 6.6051
angles: 90.00 90.00 90.00
Space group Fm-3m (No. 225)
Asymmetric unit:
Pu (0.0000, 0.0000, 0.0000)
Ti (0.2500, 0.2500, 0.2500)
Ga (0.0000, 0.0000, 0.5000)

Values from the calculation:
* total magnetization: 27.58 μB per cell

---

Each structure's energy above the most stable one, in meV/atom: a 0; b 41.

---

## a
Computed, not measured: an optimized crystal structure of PuTi2Ga at the PBE-GGA level of DFT.

abc: 4.7296 4.7296 11.5676
angles: 90.00 90.00 120.00
Space group R3m (No. 160, hexagonal axes)
Asymmetric unit:
Pu (0.0000, 0.0000, 0.0000)
Ti (0.0000, 0.0000, 0.5011)
Ti (0.0000, 0.0000, 0.7518)
Ga (0.0000, 0.0000, 0.2503)

Values from the calculation:
* total magnetization: 15.02 μB per cell

---

## b
Computed, not measured: an optimized crystal structure of PuTi2Ga at the PBE-GGA level of DFT.

abc: 3.1509 3.1509 7.3744
angles: 90.00 90.00 90.00
Space group P4/mmm (No. 123)
Asymmetric unit:
Pu (0.0000, 0.0000, 0.0000)
Ti (0.5000, 0.5000, 0.2797)
Ga (0.0000, 0.0000, 0.5000)

Values from the calculation:
* total magnetization: 5.26 μB per cell

---

Each structure's energy above the most stable one, in meV/atom: a 76; b 0.

---

## a
Computed, not measured: an optimized crystal structure of PuTiGa at the PBE-GGA level of DFT.

abc: 2.7190 2.7190 27.2636
angles: 90.00 90.00 90.00
Space group I4/mmm (No. 139)
Asymmetric unit:
Pu (0.0000, 0.0000, 0.0428)
Ti (0.0000, 0.0000, 0.2103)
Ga (0.0000, 0.0000, 0.3679)

Values from the calculation:
* total magnetization: 6.46 μB per cell

---

## b
Computed, not measured: an optimized crystal structure of PuTiGa at the PBE-GGA level of DFT.

abc: 3.4639 3.4639 8.9226
angles: 90.00 90.00 90.00
Space group P4/nmm (No. 129, origin choice 2)
Asymmetric unit:
Pu (0.2500, 0.2500, 0.0543)
Ti (0.2500, 0.7500, 0.5000)
Ga (0.2500, 0.2500, 0.7415)

Values from the calculation:
* total magnetization: 1.93 μB per cell

---

## c
Computed, not measured: an optimized crystal structure of PuTiGa at the PBE-GGA level of DFT.

abc: 4.7117 4.7117 3.1247
angles: 90.00 90.00 120.00
Space group P3m1 (No. 156)
Asymmetric unit:
Pu (0.0000, 0.0000, 0.0000)
Ti (0.3333, 0.6667, 0.4983)
Ga (0.6667, 0.3333, 0.5019)

Values from the calculation:
* total magnetization: 5.17 μB per cell

---

Each structure's energy above the most stable one, in meV/atom: a 40; b 340; c 0.

---

## a
Computed, not measured: an optimized crystal structure of PuTl2Ga at the PBE-GGA level of DFT.

abc: 4.5881 4.5881 4.7612
angles: 90.00 90.00 90.00
Space group P4/mmm (No. 123)
Asymmetric unit:
Pu (0.0000, 0.0000, 0.0000)
Tl (0.0000, 0.5000, 0.5000)
Ga (0.5000, 0.5000, 0.0000)

Values from the calculation:
* total magnetization: 5.70 μB per cell

---

## b
Computed, not measured: an optimized crystal structure of PuTl2Ga at the PBE-GGA level of DFT.

abc: 3.3544 3.3544 34.5835
angles: 90.00 90.00 120.00
Space group R-3m (No. 166, hexagonal axes)
Asymmetric unit:
Pu (0.0000, 0.0000, 0.0000)
Tl (0.0000, 0.0000, 0.0939)
Ga (0.0000, 0.0000, 0.5000)

Values from the calculation:
* total magnetization: 19.01 μB per cell

---

## c
Computed, not measured: an optimized crystal structure of PuTl2Ga at the PBE-GGA level of DFT.

abc: 3.7351 3.7351 7.3890
angles: 90.00 90.00 90.00
Space group P4/mmm (No. 123)
Asymmetric unit:
Pu (0.0000, 0.0000, 0.0000)
Tl (0.5000, 0.5000, 0.2771)
Ga (0.0000, 0.0000, 0.5000)

Values from the calculation:
* total magnetization: 6.12 μB per cell

---

Each structure's energy above the most stable one, in meV/atom: a 0; b 341; c 108.

---

## a
Computed, not measured: an optimized crystal structure of TmPu2Ga9 at the PBE-GGA level of DFT.

abc: 4.2696 4.2696 12.7772
angles: 90.00 90.00 90.00
Space group P4/mmm (No. 123)
Asymmetric unit:
Tm (0.0000, 0.0000, 0.0000)
Pu (0.0000, 0.0000, 0.3310)
Ga (0.0000, 0.5000, 0.1661)
Ga (0.0000, 0.5000, 0.5000)
Ga (0.5000, 0.5000, 0.0000)
Ga (0.5000, 0.5000, 0.3350)

Values from the calculation:
* total magnetization: 10.64 μB per cell

---

## b
Computed, not measured: an optimized crystal structure of TmPu2Ga9 at the PBE-GGA level of DFT.

abc: 5.4676 5.4676 27.2610
angles: 90.00 90.00 120.00
Space group R-3m (No. 166, hexagonal axes)
Asymmetric unit:
Tm (0.0000, 0.0000, 0.0000)
Pu (0.0000, 0.0000, 0.1425)
Ga (0.0000, 0.0000, 0.3346)
Ga (0.0000, 0.0000, 0.5000)
Ga (0.0060, 0.5030, 0.9159)

Values from the calculation:
* total magnetization: 34.34 μB per cell

---

Each structure's energy above the most stable one, in meV/atom: a 0; b 142.

---

## a
Computed, not measured: an optimized crystal structure of Tm2PuGa6 at the PBE-GGA level of DFT.

abc: 4.3048 7.0566 13.0341
angles: 90.00 90.00 90.00
Space group Immm (No. 71)
Asymmetric unit:
Tm (0.0000, 0.0000, 0.1237)
Pu (0.0000, 0.5000, 0.0000)
Ga (0.0000, 0.1937, 0.3137)
Ga (0.0000, 0.3152, 0.5000)

Values from the calculation:
* total magnetization: 11.61 μB per cell

---

## b
Computed, not measured: an optimized crystal structure of Tm2PuGa6 at the PBE-GGA level of DFT.

abc: 7.7155 7.7155 3.4860
angles: 90.00 90.00 120.00
Space group P6/mmm (No. 191)
Asymmetric unit:
Tm (0.3333, 0.6667, 0.0000)
Pu (0.0000, 0.0000, 0.0000)
Ga (0.0000, 0.3350, 0.5000)

Values from the calculation:
* total magnetization: 5.70 μB per cell

---

Each structure's energy above the most stable one, in meV/atom: a 139; b 0.

---

## a
Computed, not measured: an optimized crystal structure of TmPuGa2 at the PBE-GGA level of DFT.

abc: 5.0520 5.0520 3.5317
angles: 90.00 90.00 90.00
Space group P4/mmm (No. 123)
Asymmetric unit:
Tm (0.0000, 0.0000, 0.0000)
Pu (0.5000, 0.5000, 0.0000)
Ga (0.0000, 0.5000, 0.5000)

Values from the calculation:
* total magnetization: 5.67 μB per cell

---

## b
Computed, not measured: an optimized crystal structure of TmPuGa2 at the PBE-GGA level of DFT.

abc: 7.1038 7.1038 7.1038
angles: 90.00 90.00 90.00
Space group Fm-3m (No. 225)
Asymmetric unit:
Tm (0.0000, 0.0000, 0.0000)
Pu (0.0000, 0.0000, 0.5000)
Ga (0.2500, 0.2500, 0.2500)

Values from the calculation:
* total magnetization: 22.47 μB per cell

---

Each structure's energy above the most stable one, in meV/atom: a 30; b 0.

---

## a
Computed, not measured: an optimized crystal structure of PuUGa4 at the PBE-GGA level of DFT.

abc: 8.5576 4.2845 6.7420
angles: 90.00 90.00 90.00
Space group Pmma (No. 51)
Asymmetric unit:
Pu (0.2500, 0.0000, 0.2020)
U (0.2500, 0.0000, 0.8178)
Ga (0.0000, 0.0000, 0.5000)
Ga (0.0036, 0.5000, 0.1936)
Ga (0.2500, 0.5000, 0.5089)

Values from the calculation:
* total magnetization: 14.72 μB per cell

---

## b
Computed, not measured: an optimized crystal structure of PuUGa4 at the PBE-GGA level of DFT.

abc: 7.7263 7.7263 7.7263
angles: 90.00 90.00 90.00
Space group F-43m (No. 216)
Asymmetric unit:
Pu (0.0000, 0.0000, 0.0000)
U (0.2500, 0.2500, 0.2500)
Ga (0.1248, 0.1248, 0.6248)

Values from the calculation:
* total magnetization: 32.96 μB per cell

---

Each structure's energy above the most stable one, in meV/atom: a 212; b 0.